Entry 1:
The following is a PBE calculation of crystalline LiCuGe2Os at its relaxed geometry, from Alexandria.

Properties
Formation enthalpy at 0 K: 0.305 eV per atom
Symmetry: P4/mmm (123)
Total moment: 0.0 μB/cell

abc: 4.692 4.692 4.996
angles: 90.00 90.00 90.00
Element x y z (fractional)
Li (0.000, 0.000, 0.000)
Cu (0.500, 0.500, 0.000)
Ge (0.000, 0.500, 0.500)
Ge (0.500, 0.000, 0.500)
Os (0.500, 0.500, 0.500)


Entry 2:
The following is a PBE calculation of crystalline LiPaCu2Ge2 at its relaxed geometry, from Alexandria.

Properties
Formation enthalpy at 0 K: -0.384 eV per atom
Symmetry: P-3m1 (164)
Total moment: 0.0 μB/cell

abc: 4.174 4.174 6.618
angles: 90.00 90.00 120.00
Element x y z (fractional)
Li (0.000, 0.000, 0.000)
Pa (0.000, 0.000, 0.500)
Cu (0.333, 0.667, 0.180)
Cu (0.667, 0.333, 0.820)
Ge (0.333, 0.667, 0.761)
Ge (0.667, 0.333, 0.239)


Entry 3:
The following is a PBE calculation of crystalline Li2Cu2GePd5 at its relaxed geometry, from Alexandria.

Properties
Formation enthalpy at 0 K: -0.249 eV per atom
Symmetry: P4/mbm (127)
Total moment: 0.0 μB/cell

abc: 9.082 9.082 3.767
angles: 90.00 90.00 90.00
Element x y z (fractional)
Li (0.167, 0.333, 0.000)
Li (0.333, 0.833, 0.000)
Li (0.667, 0.167, 0.000)
Li (0.833, 0.667, 0.000)
Cu (0.128, 0.628, 0.000)
Cu (0.372, 0.128, 0.000)
Cu (0.628, 0.872, 0.000)
Cu (0.872, 0.372, 0.000)
Ge (0.000, 0.000, 0.000)
Ge (0.500, 0.500, 0.000)
Pd (0.000, 0.500, 0.500)
Pd (0.078, 0.805, 0.500)
Pd (0.195, 0.078, 0.500)
Pd (0.305, 0.578, 0.500)
Pd (0.422, 0.305, 0.500)
Pd (0.500, 0.000, 0.500)
Pd (0.578, 0.695, 0.500)
Pd (0.695, 0.422, 0.500)
Pd (0.805, 0.922, 0.500)
Pd (0.922, 0.195, 0.500)


Entry 4:
The following is a PBE calculation of crystalline LiCuGePd at its relaxed geometry, from Alexandria.

Properties
Formation enthalpy at 0 K: -0.372 eV per atom
Symmetry: F-43m (216)
Total moment: 0.0 μB/cell

abc: 4.254 4.254 4.254
angles: 60.00 60.00 60.00
Element x y z (fractional)
Li (0.000, 0.000, 0.000)
Cu (0.750, 0.750, 0.750)
Ge (0.500, 0.500, 0.500)
Pd (0.250, 0.250, 0.250)


Entry 5:
The following is a PBE calculation of crystalline Li2CuGe2Pd5 at its relaxed geometry, from Alexandria.

Properties
Formation enthalpy at 0 K: -0.418 eV per atom
Symmetry: P4/mbm (127)
Total moment: 0.0 μB/cell

abc: 9.305 9.305 3.640
angles: 90.00 90.00 90.00
Element x y z (fractional)
Li (0.167, 0.333, 0.000)
Li (0.333, 0.833, 0.000)
Li (0.667, 0.167, 0.000)
Li (0.833, 0.667, 0.000)
Cu (0.000, 0.000, 0.000)
Cu (0.500, 0.500, 0.000)
Ge (0.133, 0.633, 0.000)
Ge (0.367, 0.133, 0.000)
Ge (0.633, 0.867, 0.000)
Ge (0.867, 0.367, 0.000)
Pd (0.000, 0.500, 0.500)
Pd (0.075, 0.803, 0.500)
Pd (0.197, 0.075, 0.500)
Pd (0.303, 0.575, 0.500)
Pd (0.425, 0.303, 0.500)
Pd (0.500, 0.000, 0.500)
Pd (0.575, 0.697, 0.500)
Pd (0.697, 0.425, 0.500)
Pd (0.803, 0.925, 0.500)
Pd (0.925, 0.197, 0.500)


Entry 6:
The following is a PBE calculation of crystalline LiPmCu2Ge2 at its relaxed geometry, from Alexandria.

Properties
Formation enthalpy at 0 K: -0.487 eV per atom
Symmetry: P-3m1 (164)
Total moment: 0.0 μB/cell

abc: 4.190 4.190 6.775
angles: 90.00 90.00 120.00
Element x y z (fractional)
Li (0.000, 0.000, 0.000)
Pm (0.000, 0.000, 0.500)
Cu (0.333, 0.667, 0.165)
Cu (0.667, 0.333, 0.835)
Ge (0.333, 0.667, 0.782)
Ge (0.667, 0.333, 0.218)


Entry 7:
The following is a PBE calculation of crystalline LiPmCuGe at its relaxed geometry, from Alexandria.

Properties
Formation enthalpy at 0 K: -0.361 eV per atom
Symmetry: F-43m (216)
Total moment: 0.0 μB/cell

abc: 4.803 4.803 4.803
angles: 60.00 60.00 60.00
Element x y z (fractional)
Li (0.000, 0.000, 0.000)
Pm (0.500, 0.500, 0.500)
Cu (0.750, 0.750, 0.750)
Ge (0.250, 0.250, 0.250)


Entry 8:
The following is a PBE calculation of crystalline LiPr2Cu3Ge4 at its relaxed geometry, from Alexandria.

Properties
Formation enthalpy at 0 K: -0.523 eV per atom
Symmetry: P-4m2 (115)
Total moment: 0.0 μB/cell

abc: 4.234 4.234 10.212
angles: 90.00 90.00 90.00
Element x y z (fractional)
Li (0.000, 0.000, 0.000)
Pr (0.000, 0.500, 0.751)
Pr (0.500, 0.000, 0.249)
Cu (0.000, 0.500, 0.371)
Cu (0.500, 0.000, 0.629)
Cu (0.500, 0.500, 0.000)
Ge (0.000, 0.000, 0.500)
Ge (0.000, 0.500, 0.133)
Ge (0.500, 0.000, 0.867)
Ge (0.500, 0.500, 0.500)


Entry 9:
The following is a PBE calculation of crystalline LiCuGePt at its relaxed geometry, from Alexandria.

Properties
Formation enthalpy at 0 K: -0.435 eV per atom
Excess energy over the best structure of this formula in the dataset: 0.000 eV per atom
Symmetry: I-4m2 (119)
Total moment: 0.0 μB/cell

abc: 4.615 4.615 4.615
angles: 131.24 131.24 71.43
Element x y z (fractional)
Li (0.000, 0.000, 0.000)
Cu (0.750, 0.250, 0.500)
Ge (0.250, 0.750, 0.500)
Pt (0.500, 0.500, 0.000)


Entry 10:
The following is a PBE calculation of crystalline LiCuGePt at its relaxed geometry, from Alexandria.

Properties
Formation enthalpy at 0 K: -0.392 eV per atom
Excess energy over the best structure of this formula in the dataset: 0.043 eV per atom
Symmetry: F-43m (216)
Total moment: 0.0 μB/cell

abc: 4.257 4.257 4.257
angles: 60.00 60.00 60.00
Element x y z (fractional)
Li (0.000, 0.000, 0.000)
Cu (0.750, 0.750, 0.750)
Ge (0.500, 0.500, 0.500)
Pt (0.250, 0.250, 0.250)


Entry 11:
The following is a PBE calculation of crystalline LiPuCuGe at its relaxed geometry, from Alexandria.

Properties
Formation enthalpy at 0 K: -0.138 eV per atom
Symmetry: F-43m (216)
Total moment: 5.8 μB/cell

abc: 4.601 4.601 4.601
angles: 60.00 60.00 60.00
Element x y z (fractional)
Li (0.000, 0.000, 0.000)
Pu (0.750, 0.750, 0.750)
Cu (0.500, 0.500, 0.500)
Ge (0.250, 0.250, 0.250)


Entry 12:
The following is a PBE calculation of crystalline LiPuCu2Ge2 at its relaxed geometry, from Alexandria.

Properties
Formation enthalpy at 0 K: -0.310 eV per atom
Symmetry: P-3m1 (164)
Total moment: 5.3 μB/cell

abc: 4.169 4.169 6.707
angles: 90.00 90.00 120.00
Element x y z (fractional)
Li (0.000, 0.000, 0.000)
Pu (0.000, 0.000, 0.500)
Cu (0.333, 0.667, 0.161)
Cu (0.667, 0.333, 0.839)
Ge (0.333, 0.667, 0.771)
Ge (0.667, 0.333, 0.229)


Entry 13:
The following is a PBE calculation of crystalline LiPu2Cu4Ge3 at its relaxed geometry, from Alexandria.

Properties
Formation enthalpy at 0 K: -0.265 eV per atom
Symmetry: P-4m2 (115)
Total moment: 10.8 μB/cell

abc: 4.151 4.151 9.969
angles: 90.00 90.00 90.00
Element x y z (fractional)
Li (0.000, 0.000, 0.000)
Pu (0.000, 0.500, 0.743)
Pu (0.500, 0.000, 0.257)
Cu (0.000, 0.000, 0.500)
Cu (0.000, 0.500, 0.126)
Cu (0.500, 0.000, 0.874)
Cu (0.500, 0.500, 0.500)
Ge (0.000, 0.500, 0.363)
Ge (0.500, 0.000, 0.637)
Ge (0.500, 0.500, 0.000)


Entry 14:
The following is a PBE calculation of crystalline RbLiCuGe2 at its relaxed geometry, from Alexandria.

Properties
Formation enthalpy at 0 K: 0.157 eV per atom
Symmetry: P4/mmm (123)
Total moment: 0.0 μB/cell

abc: 4.799 4.799 5.218
angles: 90.00 90.00 90.00
Element x y z (fractional)
Rb (0.000, 0.000, 0.000)
Li (0.500, 0.500, 0.000)
Cu (0.500, 0.500, 0.500)
Ge (0.000, 0.500, 0.500)
Ge (0.500, 0.000, 0.500)


Entry 15:
The following is a PBE calculation of crystalline LiCuGeRu2 at its relaxed geometry, from Alexandria.

Properties
Formation enthalpy at 0 K: 0.834 eV per atom
Symmetry: P4/mmm (123)
Total moment: 1.9 μB/cell

abc: 4.602 4.602 4.463
angles: 90.00 90.00 90.00
Element x y z (fractional)
Li (0.000, 0.000, 0.000)
Cu (0.500, 0.500, 0.000)
Ge (0.500, 0.500, 0.500)
Ru (0.000, 0.500, 0.500)
Ru (0.500, 0.000, 0.500)


Entry 16:
The following is a PBE calculation of crystalline LiCuGeS3 at its relaxed geometry, from Alexandria.

Properties
ΔE_f (raw): -0.54 eV per atom
Symmetry: P2_1/m (11)
Total moment: 0.0 μB/cell

abc: 6.438 3.718 10.762
angles: 90.00 98.26 90.00
Element x y z (fractional)
Li (0.031, 0.250, 0.229)
Li (0.969, 0.750, 0.771)
Cu (0.339, 0.750, 0.013)
Cu (0.661, 0.250, 0.987)
Ge (0.389, 0.250, 0.724)
Ge (0.611, 0.750, 0.276)
S (0.238, 0.250, 0.901)
S (0.246, 0.750, 0.612)
S (0.269, 0.750, 0.218)
S (0.731, 0.250, 0.782)
S (0.754, 0.250, 0.388)
S (0.762, 0.750, 0.099)


Entry 17:
The following is a PBE calculation of crystalline LiCu2GeSb at its relaxed geometry, from Alexandria.

Properties
ΔE_f (raw): 0.57 eV per atom
Symmetry: P4/mmm (123)
Total moment: 0.0 μB/cell

abc: 4.417 4.417 4.716
angles: 90.00 90.00 90.00
Element x y z (fractional)
Li (0.000, 0.000, 0.000)
Cu (0.000, 0.500, 0.000)
Cu (0.500, 0.000, 0.000)
Ge (0.500, 0.500, 0.500)
Sb (0.000, 0.000, 0.500)


Entry 18:
The following is a PBE calculation of crystalline Li2Cu7GeSb2 at its relaxed geometry, from Alexandria.

Properties
ΔE_f (raw): -0.01 eV per atom
Symmetry: Cmmm (65)
Total moment: 0.0 μB/cell

abc: 3.871 3.871 11.932
angles: 90.00 90.00 91.45
Element x y z (fractional)
Li (0.000, 0.000, 0.195)
Li (0.000, 0.000, 0.805)
Cu (0.000, 0.000, 0.500)
Cu (0.000, 0.500, 0.353)
Cu (0.000, 0.500, 0.647)
Cu (0.242, 0.242, 0.000)
Cu (0.500, 0.000, 0.353)
Cu (0.500, 0.000, 0.647)
Cu (0.758, 0.758, 0.000)
Ge (0.500, 0.500, 0.500)
Sb (0.500, 0.500, 0.190)
Sb (0.500, 0.500, 0.810)


Entry 19:
The following is a PBE calculation of crystalline LiScCuGe at its relaxed geometry, from Alexandria.

Properties
Formation enthalpy at 0 K: -0.407 eV per atom
Symmetry: F-43m (216)
Total moment: 0.0 μB/cell

abc: 4.498 4.498 4.498
angles: 60.00 60.00 60.00
Element x y z (fractional)
Li (0.000, 0.000, 0.000)
Sc (0.500, 0.500, 0.500)
Cu (0.250, 0.250, 0.250)
Ge (0.750, 0.750, 0.750)


Entry 20:
The following is a PBE calculation of crystalline LiCu2GeSe4 at its relaxed geometry, from Alexandria.

Properties
ΔE_f (raw): -0.43 eV per atom
Symmetry: I-42m (121)
Total moment: 0.0 μB/cell

abc: 6.822 6.822 6.822
angles: 130.29 130.29 72.94
Element x y z (fractional)
Li (0.000, 0.000, 0.000)
Cu (0.250, 0.750, 0.500)
Cu (0.750, 0.250, 0.500)
Ge (0.500, 0.500, 0.000)
Se (0.129, 0.129, 0.519)
Se (0.390, 0.871, 0.000)
Se (0.610, 0.610, 0.481)
Se (0.871, 0.390, 0.000)